The following is a PBE calculation of a geometry-optimized ErTh2Rh9 structure, from Alexandria via LeMat-Bulk. Values from VASP.

Structure (Quantum ESPRESSO input):
```
&SYSTEM
  ibrav = 0, nat = 12, ntyp = 3
/
ATOMIC_SPECIES
Er 167.26 Er.upf
Th 232.04 Th.upf
Rh 102.91 Rh.upf
ATOMIC_POSITIONS crystal
Er 0.000 0.000 0.000
Th 0.863 0.863 0.411
Th 0.137 0.137 0.589
Rh 0.667 0.667 0.999
Rh 0.333 0.333 0.001
Rh 0.500 0.500 0.500
Rh 0.417 0.417 0.245
Rh 0.920 0.417 0.245
Rh 0.417 0.920 0.245
Rh 0.583 0.583 0.755
Rh 0.583 0.080 0.755
Rh 0.080 0.583 0.755
CELL_PARAMETERS angstrom
5.278 0.000 0.000
2.639 4.571 0.000
2.639 1.524 8.940
```

***

! ErTh2Rh2 | Alexandria via LeMat-Bulk | PBE | relaxed; values from VASP
&SYSTEM
  ibrav = 0, nat = 5, ntyp = 3
/
ATOMIC_SPECIES
Er 167.26 Er.upf
Th 232.04 Th.upf
Rh 102.91 Rh.upf
ATOMIC_POSITIONS crystal
Er 0.000 0.000 0.000
Th 0.196 0.804 0.500
Th 0.804 0.196 0.500
Rh 0.500 0.500 0.231
Rh 0.500 0.500 0.769
CELL_PARAMETERS angstrom
-4.950 -1.937 2.367
2.013 -5.055 -2.063
3.651 4.018 2.910
! Energy above the most stable polymorph in this dataset ... 0.132 eV per atom

***

E_form / meV per atom: -603, -635